The following is a GGA-PBE calculation of an optimized crystal structure of CsIrSe2, from the Alexandria database.

Properties
* total magnetic moment: 0.00 μB/f.u.
* formation energy without anion corrections: -2.30 eV/f.u.
* E: -18.99 eV for the cell shown

a b c (Å): 8.018 8.018 8.018
angles (deg): 28.63 28.63 28.63
Fractional positions:
Cs1 0.000 0.000 0.000
Ir1 0.170 0.170 0.170
Se1 0.553 0.553 0.553
Se2 0.786 0.786 0.786

The following is a GGA-PBE calculation of an optimized crystal structure of CsIrSe3, from the Alexandria database.

Properties
* total magnetic moment: 4.22 μB/f.u.
* formation energy without anion corrections: 10.77 eV/f.u.
* E: -9.40 eV for the cell shown

a b c (Å): 5.807 5.807 5.807
angles (deg): 90.00 90.00 90.00
Fractional positions:
Cs1 0.000 0.000 0.000
Ir1 0.500 0.500 0.500
Se1 0.000 0.000 0.500
Se2 0.000 0.500 0.000
Se3 0.500 0.000 0.000

The following is a GGA-PBE calculation of an optimized crystal structure of CsIrSe2, from the Alexandria database.

Properties
* total magnetic moment: 0.00 μB/f.u.
* formation energy without anion corrections: -1.89 eV/f.u.
* E: -37.14 eV for the cell shown

a b c (Å): 6.855 6.855 6.855
angles (deg): 110.54 110.54 107.35
Fractional positions:
Cs1 0.000 0.000 0.000
Cs2 0.750 0.250 0.500
Ir1 0.250 0.750 0.500
Ir2 0.500 0.500 0.000
Se1 0.251 0.125 0.626
Se2 0.375 0.749 0.874
Se3 0.499 0.625 0.374
Se4 0.875 0.501 0.126

The following is a GGA-PBE calculation of an optimized crystal structure of CsIr5Se8, from the Alexandria database.

Properties
* total magnetic moment: 0.00 μB/f.u.
* formation energy without anion corrections: -4.54 eV/f.u.
* E: -77.57 eV for the cell shown

a b c (Å): 9.954 9.954 8.907
angles (deg): 105.25 105.25 21.99
Fractional positions:
Cs1 0.000 0.000 0.000
Ir1 0.160 0.160 0.473
Ir2 0.202 0.202 0.825
Ir3 0.500 0.500 0.500
Ir4 0.798 0.798 0.175
Ir5 0.840 0.840 0.527
Se1 0.076 0.076 0.634
Se2 0.263 0.263 0.351
Se3 0.321 0.321 0.015
Se4 0.411 0.411 0.664
Se5 0.589 0.589 0.336
Se6 0.679 0.679 0.985
Se7 0.737 0.737 0.649
Se8 0.924 0.924 0.366

The following is a GGA-PBE calculation of an optimized crystal structure of CsIrSe2, from the Alexandria database.

Properties
* total magnetic moment: 0.00 μB/f.u.
* formation energy without anion corrections: 2.85 eV/f.u.
* E: -13.83 eV for the cell shown

a b c (Å): 5.101 5.101 5.101
angles (deg): 60.00 60.00 60.00
Fractional positions:
Cs1 0.000 0.000 0.000
Ir1 0.500 0.500 0.500
Se1 0.250 0.250 0.250
Se2 0.750 0.750 0.750

The following is a GGA-PBE calculation of an optimized crystal structure of CsIrSe2, from the Alexandria database.

Properties
* total magnetic moment: 0.00 μB/f.u.
* formation energy without anion corrections: -1.23 eV/f.u.
* E: -17.91 eV for the cell shown

a b c (Å): 9.377 9.377 9.377
angles (deg): 24.15 24.15 24.15
Fractional positions:
Cs1 0.000 0.000 0.000
Ir1 0.500 0.500 0.500
Se1 0.124 0.124 0.124
Se2 0.876 0.876 0.876